[1]
# LaAu

LaAu at its PBEsol-relaxed geometry (SCAN, Alexandria via LeMat-Bulk).

Properties
**Formation enthalpy at 0 K**: -2.1 eV/f.u.
**Space group**: Pnma
**Density of states at the Fermi level**: 5.800 states/eV/cell

Unit cell a=7.4758 b=4.7973 c=5.8786 alpha=90.00 beta=90.00 gamma=90.00
Element x y z (fractional)
La 0.1847 0.2500 0.1425
La 0.3153 0.7500 0.6425
La 0.6847 0.2500 0.3575
La 0.8153 0.7500 0.8575
Au 0.0401 0.2500 0.6474
Au 0.4599 0.7500 0.1474
Au 0.5401 0.2500 0.8526
Au 0.9599 0.7500 0.3526

***

[2]
# LaAu3

LaAu3 at its PBEsol-relaxed geometry (SCAN, Alexandria via LeMat-Bulk).

Properties
**Formation enthalpy at 0 K**: -3.2 eV/f.u.
**Space group**: Fm-3m
**Density of states at the Fermi level**: 0.947 states/eV/cell

Unit cell a=4.9419 b=4.9419 c=4.9419 alpha=60.00 beta=60.00 gamma=60.00
Element x y z (fractional)
La 0.0000 0.0000 0.0000
Au 0.2500 0.2500 0.2500
Au 0.5000 0.5000 0.5000
Au 0.7500 0.7500 0.7500

***

[3]
# La3Au5

La3Au5 at its PBEsol-relaxed geometry (SCAN, Alexandria via LeMat-Bulk).

Properties
**Formation enthalpy at 0 K**: -7.2 eV/f.u.
**Space group**: Cmmm
**Density of states at the Fermi level**: 5.508 states/eV/cell

Unit cell a=6.2810 b=6.2810 c=5.1335 alpha=90.00 beta=90.00 gamma=108.95
Element x y z (fractional)
La 0.0000 0.0000 0.0000
La 0.2983 0.7017 0.5000
La 0.7017 0.2983 0.5000
Au 0.0000 0.5000 0.0000
Au 0.2026 0.2026 0.5000
Au 0.5000 0.0000 0.0000
Au 0.5000 0.5000 0.0000
Au 0.7974 0.7974 0.5000

***

Please write out number 1 again, unchanged.
# LaAu

LaAu at its PBEsol-relaxed geometry (SCAN, Alexandria via LeMat-Bulk).

Properties
**Formation enthalpy at 0 K**: -2.1 eV/f.u.
**Space group**: Pnma
**Density of states at the Fermi level**: 5.800 states/eV/cell

Unit cell a=7.4758 b=4.7973 c=5.8786 alpha=90.00 beta=90.00 gamma=90.00
Element x y z (fractional)
La 0.1847 0.2500 0.1425
La 0.3153 0.7500 0.6425
La 0.6847 0.2500 0.3575
La 0.8153 0.7500 0.8575
Au 0.0401 0.2500 0.6474
Au 0.4599 0.7500 0.1474
Au 0.5401 0.2500 0.8526
Au 0.9599 0.7500 0.3526

***

Number 3 is which compound?
La3Au5

***

Which formula does entry 2 have?
LaAu3